Compound: TiRuPt
Source: Alexandria via LeMat-Bulk
Functional: PBE
Structure: relaxed

Cell: 8.7549 3.8628 5.5121 Å, 90.00 105.65 90.00°
Last column: nearest neighbours and their distance in Å.
Space group C2/m (No. 12)
Asymmetric unit:
Ti 0.1425 0.0000 0.3136 (multiplicity 4)  4 Ru 2.65-2.67, 5 Pt 2.69-2.80
Ru 0.0000 0.5000 0.0000 (multiplicity 2)  4 Ti 2.67, 6 Pt 2.74-2.81, 2 Ru 2.76
Ru 0.0000 0.5000 0.5000 (multiplicity 2)  4 Ti 2.65, 2 Ru 2.76, 4 Pt 2.79
Pt 0.1762 0.0000 0.8230 (multiplicity 4)  5 Ti 2.69-2.80, 5 Ru 2.74-2.81, 2 Pt 2.80

Summary:
The calculation puts the energy above the most stable polymorph in this dataset at 6.7 meV/atom. Its crystal system is monoclinic. For the uncorrected energy, the calculation gives -8.41 eV/atom.

---

Compound: TiRu2PtW
Source: Alexandria via LeMat-Bulk
Functional: PBE
Structure: relaxed

Cell: 4.7085 4.7085 4.5343 Å, 90.00 90.00 90.00°
Last column: nearest neighbours and their distance in Å.
Space group P4/mmm (No. 123)
Asymmetric unit:
Ti 0.0000 0.0000 0.0000 (multiplicity 1)  2 Pt 2.27
Ru 0.0000 0.5000 0.5000 (multiplicity 2)  2 Pt 2.35
Pt 0.0000 0.0000 0.5000 (multiplicity 1)  2 Ti 2.27, 4 Ru 2.35
W 0.5000 0.5000 0.0000 (multiplicity 1)  8 Ru 3.27, 4 Ti 3.33

Summary:
Its crystal system is tetragonal. For the uncorrected energy, the calculation gives -7.29 eV/atom.

---

DOS at the Fermi energy
In order: 7.7, 9.8
Unit: states/eV/cell
Size of the total moment
In order: 0.000, 2.281
Unit: Bohr magnetons per cell